VASP calculation (GGA-PBE) on a relaxed Na8Cd2Sb crystal.

Unit cell a=9.3423 b=9.3423 c=5.2477 alpha=106.20 beta=106.20 gamma=50.96
Atoms (fractional coordinates):
Na: 0.0000 0.0000 0.0000
Na: 0.2104 0.5718 0.3917
Na: 0.3385 0.0596 0.1988
Na: 0.4282 0.7896 0.6083
Na: 0.4896 0.1972 0.8435
Na: 0.6666 0.3334 0.5000
Na: 0.8028 0.5104 0.1565
Na: 0.9404 0.6615 0.8012
Cd: 0.0755 0.2384 0.6567
Cd: 0.7616 0.9245 0.3433
Sb: 0.3992 0.6008 0.0000

Results
For the formation energy without anion corrections, the calculation gives -12.95 kJ per mole of atoms. The space group is No. 5. The magnetic moment is 0.00 Bohr magnetons per cell.


VASP calculation (GGA-PBE) on a relaxed Tl3VH crystal.

Unit cell a=4.7497 b=4.7497 c=4.7497 alpha=90.00 beta=90.00 gamma=90.00
Atoms (fractional coordinates):
Tl: 0.0000 0.0000 0.5000
Tl: 0.0000 0.5000 0.0000
Tl: 0.5000 0.0000 0.0000
V: 0.5000 0.5000 0.5000
H: 0.0000 0.0000 0.0000

Results
The total DFT energy (no corrections) is -3.2533 eV per atom. The space group is No. 221. The magnetic moment is 3.26 Bohr magnetons per cell.


VASP calculation (GGA-PBE) on a relaxed Ba2LiVP crystal.

Unit cell a=6.3861 b=6.3861 c=4.6014 alpha=90.00 beta=90.00 gamma=90.00
Atoms (fractional coordinates):
Ba: 0.0000 0.5000 0.0000
Ba: 0.5000 0.0000 0.0000
Li: 0.0000 0.0000 0.5000
V: 0.5000 0.5000 0.0000
P: 0.5000 0.5000 0.5000

Results
For the formation energy, the calculation gives 0.1402 eV per atom. The space group is No. 123. The magnetic moment is 3.37 Bohr magnetons per cell.


VASP calculation (GGA-PBE) on a relaxed Mg2H2Ru crystal.

Unit cell a=6.7960 b=6.7960 c=6.7960 alpha=154.76 beta=154.76 gamma=35.99
Atoms (fractional coordinates):
Mg: 0.1510 0.1510 0.0000
Mg: 0.8490 0.8490 0.0000
H: 0.2500 0.7500 0.5000
H: 0.7500 0.2500 0.5000
Ru: 0.5000 0.5000 0.0000

Results
The total DFT energy (no corrections) is -3.6999 eV per atom. The space group is No. 139. The magnetic moment is 1.19 Bohr magnetons per cell.


VASP calculation (GGA-PBE) on a relaxed ScPd2O crystal.

Unit cell a=7.2623 b=7.2623 c=7.2623 alpha=141.66 beta=141.66 gamma=55.34
Atoms (fractional coordinates):
Sc: 0.0000 0.0000 0.0000
Sc: 0.7500 0.2500 0.5000
Pd: 0.2289 0.6250 0.1039
Pd: 0.3750 0.4789 0.6039
Pd: 0.5211 0.1250 0.8961
Pd: 0.8750 0.7711 0.3961
O: 0.2500 0.7500 0.5000
O: 0.5000 0.5000 0.0000

Results
For the formation energy without anion corrections, the calculation gives -31.23 kJ per mole of atoms. The space group is No. 122. The magnetic moment is 0.00 Bohr magnetons per cell.


VASP calculation (GGA-PBE) on a relaxed NdScN crystal.

Unit cell a=3.3975 b=3.3975 c=6.1180 alpha=90.00 beta=90.00 gamma=120.00
Atoms (fractional coordinates):
Nd: 0.0000 0.0000 0.0000
Sc: 0.3333 0.6667 0.5691
N: 0.6667 0.3333 0.7285

Results
For the formation energy without anion corrections, the calculation gives -94.38 kJ per mole of atoms. The space group is No. 156. The magnetic moment is 0.19 Bohr magnetons per cell.


Question: What is the magnetic moment in the sixth record?
Answer: 0.19 Bohr magnetons per cell


Question: Which formula does entry 2 have?
Answer: Tl3VH